{
  "formula": "In2GeSe",
  "functional": "PBE-GGA",
  "state": "relaxed",
  "lattice_angstrom": [[4.2682, 0.0000, 0.0000], [2.1341, 3.6964, 0.0000], [2.1341, 1.2321, 7.9236]],
  "species": ["In", "In", "Se", "Ge"],
  "frac_coords": [[0.1069, 0.1069, 0.6794], [0.8931, 0.8931, 0.3206], [0.0000, 0.0000, 0.0000], [0.5000, 0.5000, 0.5000]],
  "raw_formation_energy_ev_per_atom": 0.1396,
  "e_tot_ev_per_atom": -3.255,
  "volume_a3_per_cell": 125.01,
  "sg": "No. 166"
}